No. 1
Compound: SnPAu3
Source: Alexandria
Functional: PBE-GGA
Structure: relaxed

```
5
Lattice="4.8251 0.0000 0.0000 0.0000 4.8251 0.0000 0.0000 0.0000 4.8251" Properties=species:S:1:pos:R:3 pbc="T T T"
P 0.0000 0.0000 0.0000
Au 2.4125 0.0000 0.0000
Sn 2.4125 2.4125 2.4125
Au 0.0000 0.0000 2.4125
Au 0.0000 2.4125 0.0000
```

E above lowest polymorph in meV/atom: 0
Total magnetization in μB/f.u.: 0.00
DFT total energy in eV/f.u.: -18.2
Symmetry: Pm-3m
DOS at the Fermi energy in states/eV/atom: 0.579
Calculated volume in A^3/atom: 22.47

=====

No. 2
Compound: PbCl
Source: Alexandria
Functional: PBE-GGA
Structure: relaxed

```
4
Lattice="-4.1887 2.7620 -1.6996 -0.5404 -5.1120 1.2799 -1.3284 1.6189 5.9048" Properties=species:S:1:pos:R:3 pbc="T T T"
Cl -2.0886 -2.0826 1.7630
Cl -3.9689 1.3515 3.7222
Pb -3.3047 0.5421 0.7698
Pb -2.7528 -1.2732 4.7153
```

Total magnetization in μB/f.u.: 0.00
DFT total energy in eV/f.u.: -6.1
Formation energy without anion corrections in eV per atom: -0.2903
Symmetry: P6_3/mmc
DOS at the Fermi energy in states/eV/atom: 0.912
Calculated volume in A^3/atom: 38.07

=====

Copy entry 2 word for word.
Compound: PbCl
Source: Alexandria
Functional: PBE-GGA
Structure: relaxed

```
4
Lattice="-4.1887 2.7620 -1.6996 -0.5404 -5.1120 1.2799 -1.3284 1.6189 5.9048" Properties=species:S:1:pos:R:3 pbc="T T T"
Cl -2.0886 -2.0826 1.7630
Cl -3.9689 1.3515 3.7222
Pb -3.3047 0.5421 0.7698
Pb -2.7528 -1.2732 4.7153
```

Total magnetization in μB/f.u.: 0.00
DFT total energy in eV/f.u.: -6.1
Formation energy without anion corrections in eV per atom: -0.2903
Symmetry: P6_3/mmc
DOS at the Fermi energy in states/eV/atom: 0.912
Calculated volume in A^3/atom: 38.07

=====

- total magnetization of number 1 (SnPAu3)?
  0.00 μB/f.u.